No. 1
# Ba4HgRh2 GGA-PBE relaxed
data_Ba4HgRh2
_cell_length_a 14.140
_cell_length_b 14.171
_cell_length_c 9.721
_cell_angle_alpha 90.00
_cell_angle_beta 90.00
_cell_angle_gamma 90.00
_symmetry_space_group_name_H-M 'F d d 2'
_symmetry_Int_Tables_number 43
_symmetry_space_group_name_Hall 'F 2 -2d'
loop_
_atom_site_label
_atom_site_fract_x
_atom_site_fract_y
_atom_site_fract_z
Ba1 0.054 0.377 0.000
Ba2 0.124 0.054 0.155
Hg1 0.000 0.000 0.828
Rh1 0.053 0.303 0.703
# Energy of formation from the pure elements in eV/atom: -0.1832
# E_tot in hartree per atom: -0.12588

No. 2
# ReGeO2 GGA-PBE relaxed
data_ReGeO2
_cell_length_a 3.855
_cell_length_b 3.855
_cell_length_c 13.224
_cell_angle_alpha 90.00
_cell_angle_beta 90.00
_cell_angle_gamma 90.00
_symmetry_space_group_name_H-M 'I -4 2 d'
_symmetry_Int_Tables_number 122
_symmetry_space_group_name_Hall 'I -4 2bw'
loop_
_atom_site_label
_atom_site_fract_x
_atom_site_fract_y
_atom_site_fract_z
Re1 0.000 0.000 0.000
Ge1 0.000 0.000 0.500
O1 0.187 0.250 0.125
# E_tot in hartree per atom: -0.25754
# ΔE_f (raw) in eV/atom: -0.26

No. 3
# NaNdY2S4 GGA-PBE relaxed
data_NaNdY2S4
_cell_length_a 6.908
_cell_length_b 3.957
_cell_length_c 6.945
_cell_angle_alpha 90.00
_cell_angle_beta 109.01
_cell_angle_gamma 90.00
_symmetry_space_group_name_H-M 'P 1 2/m 1'
_symmetry_Int_Tables_number 10
loop_
_symmetry_equiv_pos_as_xyz
'x,y,z'
'-x,-y,-z'
'-x,y,-z'
'x,-y,z'
loop_
_atom_site_label
_atom_site_fract_x
_atom_site_fract_y
_atom_site_fract_z
Na1 0.000 0.000 0.000
Nd1 0.500 0.500 0.000
Y1 0.000 0.500 0.500
Y2 0.500 0.000 0.500
S1 0.243 0.000 0.739
S2 0.254 0.500 0.262
# E_tot in hartree per atom: -0.23407
# ΔE_f (raw) in eV/atom: -1.93

No. 4
# LiGe GGA-PBE relaxed
data_LiGe
_cell_length_a 3.985
_cell_length_b 3.873
_cell_length_c 5.118
_cell_angle_alpha 90.00
_cell_angle_beta 112.32
_cell_angle_gamma 90.00
_symmetry_space_group_name_H-M 'P 1 21/m 1'
_symmetry_Int_Tables_number 11
loop_
_symmetry_equiv_pos_as_xyz
'x,y,z'
'-x,-y,-z'
'-x,y+1/2,-z'
'x,-y+1/2,z'
loop_
_atom_site_label
_atom_site_fract_x
_atom_site_fract_y
_atom_site_fract_z
Li1 0.132 0.250 0.270
Ge1 0.418 0.250 0.834
# Energy of formation from the pure elements in eV/atom: -0.2445
# E_tot in hartree per atom: -0.12899

No. 5
# Sr2Ti2Os GGA-PBE relaxed
data_Sr2Ti2Os
_cell_length_a 8.979
_cell_length_b 8.979
_cell_length_c 2.993
_cell_angle_alpha 90.00
_cell_angle_beta 90.00
_cell_angle_gamma 90.00
_symmetry_space_group_name_H-M 'P 4/m b m'
_symmetry_Int_Tables_number 127
_symmetry_space_group_name_Hall '-P 4 2ab'
loop_
_atom_site_label
_atom_site_fract_x
_atom_site_fract_y
_atom_site_fract_z
Sr1 0.205 0.295 0.000
Ti1 0.093 0.593 0.500
Os1 0.000 0.000 0.000
# Energy of formation from the pure elements in eV/atom: 1.4801
# E_tot in hartree per atom: -0.16892

No. 6
# TiGaBi2P GGA-PBE relaxed
data_TiGaBi2P
_cell_length_a 5.546
_cell_length_b 5.546
_cell_length_c 4.623
_cell_angle_alpha 90.00
_cell_angle_beta 90.00
_cell_angle_gamma 90.00
_symmetry_space_group_name_H-M 'P 4/m m m'
_symmetry_Int_Tables_number 123
_symmetry_space_group_name_Hall '-P 4 2'
loop_
_atom_site_label
_atom_site_fract_x
_atom_site_fract_y
_atom_site_fract_z
Ti1 0.000 0.000 0.000
Ga1 0.500 0.500 0.000
Bi1 0.000 0.500 0.500
P1 0.000 0.000 0.500
# Energy of formation from the pure elements in eV/atom: 0.3459
# E_tot in hartree per atom: -0.16437

No. 7
# Rb2LiRh3F12 GGA-PBE relaxed
data_Rb2LiRh3F12
_cell_length_a 7.3356
_cell_length_b 7.3356
_cell_length_c 18.3415
_cell_angle_alpha 90.00
_cell_angle_beta 90.00
_cell_angle_gamma 120.00
_symmetry_space_group_name_H-M 'R -3 m'
_symmetry_Int_Tables_number 166
_symmetry_space_group_name_Hall '-R 3 2"'
loop_
_atom_site_label
_atom_site_fract_x
_atom_site_fract_y
_atom_site_fract_z
Rb1 0.0000 0.0000 0.1385
Li1 0.0000 0.0000 0.5000
Rh1 0.0000 0.5000 0.0000
F1 0.0584 0.5292 0.1068
F2 0.0582 0.5291 0.3588
# E_tot in hartree per atom: -0.17268
# ΔE_f (raw) in eV/atom: -2.01

No. 8
# ErTmBeFe GGA-PBE relaxed
data_ErTmBeFe
_cell_length_a 6.632
_cell_length_b 6.632
_cell_length_c 6.632
_cell_angle_alpha 90.00
_cell_angle_beta 90.00
_cell_angle_gamma 90.00
_symmetry_space_group_name_H-M 'F -4 3 m'
_symmetry_Int_Tables_number 216
_symmetry_space_group_name_Hall 'F -4 2 3'
loop_
_atom_site_label
_atom_site_fract_x
_atom_site_fract_y
_atom_site_fract_z
Er1 0.000 0.000 0.000
Tm1 0.000 0.000 0.500
Be1 0.250 0.250 0.750
Fe1 0.250 0.250 0.250
# Energy of formation from the pure elements in eV/atom: 0.0884
# E_tot in hartree per atom: -0.19174